{"formula": "Cs3InH", "functional": "PBEsol", "state": "relaxed", "total_energy_ev_per_cell": -7.2, "sg": "Pm-3m", "lattice": [[7.0940, 0.0000, 0.0000], [0.0000, 7.0940, 0.0000], [0.0000, 0.0000, 7.0940]], "species": ["Cs", "Cs", "Cs", "H", "In"], "fractional_positions": [[0.0000, 0.0000, 0.5000], [0.5000, 0.0000, 0.0000], [0.0000, 0.5000, 0.0000], [0.5000, 0.5000, 0.5000], [0.0000, 0.0000, 0.0000]]}


{"formula": "CsK2TeH", "functional": "PBEsol", "state": "relaxed", "total_energy_ev_per_cell": -13.3, "sg": "P4/mmm", "lattice": [[5.4205, 0.0000, 0.0000], [0.0000, 5.4205, 0.0000], [0.0000, 0.0000, 5.6549]], "species": ["Cs", "Te", "H", "K", "K"], "fractional_positions": [[0.0000, 0.0000, 0.5000], [0.5000, 0.5000, 0.5000], [0.0000, 0.0000, 0.0000], [0.0000, 0.5000, 0.0000], [0.5000, 0.0000, 0.0000]]}


{"formula": "CsLiMnP3HO10", "functional": "PBEsol", "state": "relaxed", "total_energy_ev_per_cell": -120.5, "sg": "C2", "lattice": [[6.4938, 0.0823, 0.0214], [0.5873, 6.4677, 0.0214], [2.1077, 1.9497, 5.9194]], "species": ["O", "O", "O", "O", "O", "O", "O", "O", "O", "O", "P", "P", "P", "Cs", "H", "Mn", "Li"], "fractional_positions": [[0.6784, 0.6656, 0.4264], [0.7195, 0.4161, 0.1298], [0.3281, 0.8469, 0.5864], [0.7090, 0.0049, 0.5127], [0.5707, 0.6849, 0.8358], [0.5839, 0.2805, 0.8702], [0.3344, 0.3216, 0.5736], [0.1531, 0.6719, 0.4136], [0.3151, 0.4293, 0.1642], [0.9951, 0.2910, 0.4873], [0.5712, 0.8033, 0.5767], [0.5625, 0.4375, 0.0000], [0.1967, 0.4288, 0.4233], [0.9870, 0.0130, 0.0000], [0.2611, 0.7389, 0.5000], [0.6649, 0.3351, 0.5000], [0.0145, 0.9855, 0.5000]]}


{"formula": "CsLiH4N2", "functional": "PBEsol", "state": "relaxed", "total_energy_ev_per_cell": -111.2, "sg": "P6_222", "lattice": [[6.2247, 0.0000, 0.0000], [-3.1124, 5.3908, 0.0000], [0.0000, 0.0000, 8.2263]], "species": ["Li", "Li", "Li", "H", "H", "H", "H", "H", "H", "H", "H", "H", "H", "H", "H", "N", "N", "N", "N", "N", "N", "Cs", "Cs", "Cs"], "fractional_positions": [[0.0000, 0.0000, 0.3333], [0.0000, 0.0000, 0.0000], [0.0000, 0.0000, 0.6667], [0.6844, 0.0944, 0.5518], [0.3156, 0.9056, 0.5518], [0.9056, 0.5901, 0.2185], [0.4099, 0.0944, 0.7815], [0.0944, 0.4099, 0.2185], [0.5901, 0.9056, 0.7815], [0.3156, 0.4099, 0.1149], [0.6844, 0.5901, 0.1149], [0.4099, 0.3156, 0.8851], [0.0944, 0.6844, 0.4482], [0.5901, 0.6844, 0.8851], [0.9056, 0.3156, 0.4482], [0.8544, 0.7087, 0.1667], [0.1456, 0.2913, 0.1667], [0.8544, 0.1456, 0.5000], [0.1456, 0.8544, 0.5000], [0.2913, 0.1456, 0.8333], [0.7087, 0.8544, 0.8333], [0.5000, 0.0000, 0.1667], [0.0000, 0.5000, 0.8333], [0.5000, 0.5000, 0.5000]]}


{"formula": "CsLiH4S2N2O6", "functional": "PBEsol", "state": "relaxed", "total_energy_ev_per_cell": -185.7, "sg": "P-1", "lattice": [[-4.6800, 2.7655, 0.2069], [-1.7057, -3.0181, 6.9767], [2.0443, 7.5158, 6.2012]], "species": ["N", "N", "N", "N", "H", "H", "H", "H", "H", "H", "H", "H", "Li", "Li", "S", "S", "S", "S", "O", "O", "O", "O", "O", "O", "O", "O", "O", "O", "O", "O", "Cs", "Cs"], "fractional_positions": [[0.8681, 0.8920, 0.6560], [0.8472, 0.6638, 0.4522], [0.1528, 0.3362, 0.5478], [0.1319, 0.1080, 0.3440], [0.8160, 0.5307, 0.4964], [0.0330, 0.9645, 0.6421], [0.9670, 0.0355, 0.3579], [0.8834, 0.7344, 0.5240], [0.7150, 0.9714, 0.6442], [0.2850, 0.0286, 0.3558], [0.1840, 0.4693, 0.5036], [0.1166, 0.2656, 0.4760], [0.3526, 0.6053, 0.7127], [0.6474, 0.3947, 0.2873], [0.8045, 0.7602, 0.8154], [0.1955, 0.2398, 0.1846], [0.5970, 0.7393, 0.3945], [0.4030, 0.2607, 0.6055], [0.4236, 0.3397, 0.1795], [0.5764, 0.6603, 0.8205], [0.4139, 0.3550, 0.7167], [0.3693, 0.6989, 0.5118], [0.6307, 0.3011, 0.4882], [0.6448, 0.9288, 0.3417], [0.3552, 0.0712, 0.6583], [0.5861, 0.6450, 0.2833], [0.2356, 0.1386, 0.0744], [0.0252, 0.6481, 0.8178], [0.7644, 0.8614, 0.9256], [0.9748, 0.3519, 0.1822], [0.8057, 0.2552, 0.9082], [0.1943, 0.7448, 0.0918]]}


{"formula": "CsMgH3", "functional": "PBEsol", "state": "relaxed", "total_energy_ev_per_cell": -83.0, "sg": "Pmmn", "lattice": [[6.0368, 0.0000, 0.0000], [0.0000, 8.3799, 0.0000], [0.0000, 0.0000, 9.8483]], "species": ["Cs", "Cs", "Cs", "Cs", "Cs", "Cs", "H", "H", "H", "H", "H", "H", "H", "H", "H", "H", "H", "H", "H", "H", "H", "H", "H", "H", "Mg", "Mg", "Mg", "Mg", "Mg", "Mg"], "fractional_positions": [[0.0000, 0.6626, 0.2780], [0.5000, 0.8245, 0.0000], [0.0000, 0.1755, 0.5000], [0.0000, 0.6626, 0.7220], [0.5000, 0.3374, 0.7780], [0.5000, 0.3374, 0.2220], [0.2500, 0.0000, 0.7500], [0.7941, 0.1684, 0.0000], [0.2402, 0.5101, 0.0000], [0.2500, 0.0000, 0.2500], [0.0000, 0.9017, 0.0000], [0.7402, 0.4899, 0.5000], [0.2941, 0.8316, 0.5000], [0.0000, 0.2971, 0.2002], [0.5000, 0.7029, 0.7002], [0.2598, 0.4899, 0.5000], [0.0000, 0.2971, 0.7998], [0.2059, 0.1684, 0.0000], [0.7500, 0.0000, 0.7500], [0.7059, 0.8316, 0.5000], [0.7500, 0.0000, 0.2500], [0.5000, 0.0983, 0.5000], [0.5000, 0.7029, 0.2998], [0.7598, 0.5101, 0.0000], [0.5000, 0.6302, 0.5000], [0.5000, 0.9268, 0.3596], [0.0000, 0.0732, 0.8596], [0.0000, 0.0732, 0.1404], [0.0000, 0.3698, 0.0000], [0.5000, 0.9268, 0.6404]]}